# 1
Density functional theory data (PBE) for crystalline BC at its relaxed geometry.

a = 4.7403 Å, b = 4.6831 Å, c = 5.4874 Å
α = 107.05°, β = 109.61°, γ = 44.99°
Closest atoms and distances in Å follow each position.
Positions (direct):
C  0.6488  0.6736  0.8393  3 C 1.51-1.55, 1 B 1.66
C  0.2558  0.7544  0.7465  2 C 1.49-1.53, 1 B 1.61
C  0.9096  0.4135  0.0659  1 C 1.51, 3 B 1.58-1.63
C  0.9966  0.0039  0.5189  2 C 1.49-1.51, 2 B 1.60
C  0.5892  0.1225  0.4236  1 C 1.51, 3 B 1.60-1.69
C  0.5758  0.0641  0.9024  1 C 1.55, 3 B 1.61-1.67
B  0.9890  0.0017  0.9941  3 C 1.63-1.72
B  0.2936  0.7235  0.3138  1 C 1.60, 1 B 1.76
B  0.6899  0.6863  0.3121  2 C 1.61-1.69, 2 B 1.73-1.76
B  0.3391  0.2824  0.1410  3 C 1.58-1.61
B  0.8602  0.4384  0.5774  2 C 1.60-1.66, 1 B 1.73
B  0.3526  0.3358  0.6650  3 C 1.61-1.63

Results
Its space group is P1. The calculation puts the raw total energy at -0.5565 Ry/atom. Its formation energy is 0.76 eV per formula unit. The energy above the most stable polymorph in this dataset is 0.46 eV per formula unit. As for the calculated volume: 80.8 Å³/cell.



# 2
Density functional theory data (PBE) for crystalline B7C5 at its relaxed geometry.

a = 4.4230 Å, b = 4.4230 Å, c = 8.7660 Å
α = 121.17°, β = 121.17°, γ = 33.91°
Closest atoms and distances in Å follow each position.
Positions (direct):
B  0.0014  0.0014  0.9588  3 C 1.61-1.66, 1 B 1.80
B  0.3698  0.3698  0.1633  2 C 1.60, 1 B 1.78
B  0.7011  0.7011  0.8519  2 C 1.61-1.68
B  0.6353  0.6353  0.3441  1 C 1.63, 1 B 1.83
B  0.4547  0.4547  0.3982  2 C 1.57
B  0.1485  0.1485  0.2031  3 B 1.80-1.83, 1 C 1.85
B  0.1662  0.1662  0.6890  2 C 1.57-1.59
C  0.8886  0.8886  0.0655  4 B 1.60-1.68
C  0.3381  0.3381  0.6623  3 C 1.52-1.56, 1 B 1.59
C  0.9676  0.9676  0.5061  1 C 1.54, 3 B 1.57
C  0.8167  0.8167  0.5530  3 C 1.54-1.56, 1 B 1.63
C  0.5119  0.5119  0.8547  1 C 1.52, 3 B 1.61

Results
Its space group is Cm. The calculation puts the raw total energy at -0.5406 Ry/atom. Its formation energy is 4.60 eV per formula unit. The energy above the most stable polymorph in this dataset is 2.63 eV per formula unit. As for the calculated volume: 80.5 Å³/cell.



# 3
Density functional theory data (PBE) for crystalline B3C2 at its relaxed geometry.

a = 4.0566 Å, b = 2.7770 Å, c = 3.6518 Å
α = 90.00°, β = 90.00°, γ = 90.00°
Closest atoms and distances in Å follow each position.
Positions (direct):
B  0.2945  0.0000  0.5000  2 C 1.63, 1 B 1.67
B  0.7055  0.0000  0.5000  2 C 1.63, 1 B 1.67
B  0.0000  0.5000  0.5000  4 C 1.78, 4 B 1.83
C  0.0000  0.0000  0.1963  1 C 1.43
C  0.0000  0.0000  0.8037  1 C 1.43

Results
Its space group is Pmmm. The calculation puts the raw total energy at -0.5310 Ry/atom. Its formation energy is 2.36 eV per formula unit. The energy above the most stable polymorph in this dataset is 1.30 eV per formula unit. As for the calculated volume: 41.1 Å³/cell.



# 4
Density functional theory data (PBE) for crystalline B3C5 at its relaxed geometry.

a = 2.4908 Å, b = 2.4908 Å, c = 8.3114 Å
α = 90.00°, β = 90.00°, γ = 90.00°
Closest atoms and distances in Å follow each position.
Positions (direct):
C  0.0000  0.0000  0.5000  4 C 1.54
C  0.0000  0.5000  0.3903  4 C 1.52-1.54
C  0.5000  0.0000  0.6097  4 C 1.52-1.54
C  0.5000  0.5000  0.2848  2 C 1.52, 2 B 1.62
C  0.5000  0.5000  0.7152  2 C 1.52, 2 B 1.62
B  0.0000  0.5000  0.8391  2 C 1.62
B  0.0000  0.0000  0.0000  4 B 1.83
B  0.5000  0.0000  0.1609  2 C 1.62

Results
Its space group is P-4m2. The calculation puts the raw total energy at -0.5847 Ry/atom. Its formation energy is 2.51 eV per formula unit. The energy above the most stable polymorph in this dataset is 0.32 eV per formula unit. As for the calculated volume: 51.6 Å³/cell.



# 5
Density functional theory data (PBE) for crystalline B3C at its relaxed geometry.

a = 6.8647 Å, b = 6.8647 Å, c = 4.7306 Å
α = 78.62°, β = 78.62°, γ = 23.42°
Closest atoms and distances in Å follow each position.
Positions (direct):
C  0.4163  0.4163  0.1217  3 B 1.54-1.59, 1 C 1.72
C  0.3459  0.3459  0.8551  4 B 1.58-1.65, 1 C 1.72
C  0.0019  0.0019  0.5213  5 B 1.60-1.73
B  0.7793  0.7793  0.8888  2 C 1.65, 1 B 1.83
B  0.7121  0.7121  0.3145  4 B 1.70-1.84
B  0.0922  0.0922  0.2218  1 C 1.67, 4 B 1.69-1.78
B  0.1231  0.1231  0.5695  1 C 1.69, 3 B 1.71-1.78
B  0.9619  0.9619  0.1966  3 C 1.59-1.73, 1 B 1.78
B  0.4536  0.4536  0.6467  3 C 1.58-1.60
B  0.6357  0.6357  0.0332  4 B 1.66-1.84
B  0.6788  0.6788  0.6798  5 B 1.66-1.83
B  0.2992  0.2992  0.2010  2 C 1.54-1.63

Results
Its space group is Cm. The calculation puts the raw total energy at -0.5104 Ry/atom. Its formation energy is 1.48 eV per formula unit. The energy above the most stable polymorph in this dataset is 0.52 eV per formula unit. As for the calculated volume: 86.8 Å³/cell.



# 6
Density functional theory data (PBE) for crystalline BC at its relaxed geometry.

a = 2.8163 Å, b = 2.8163 Å, c = 6.6008 Å
α = 90.00°, β = 90.00°, γ = 90.00°
Closest atoms and distances in Å follow each position.
Positions (direct):
B  0.0000  0.5000  0.7500  4 C 1.67
B  0.5000  0.0000  0.2500  4 C 1.67
B  0.5000  0.0000  0.7500  4 C 1.67
B  0.0000  0.5000  0.2500  4 C 1.67
C  0.5000  0.5000  0.1142  1 C 1.51, 4 B 1.67
C  0.0000  0.0000  0.6142  1 C 1.51, 4 B 1.67
C  0.0000  0.0000  0.3858  1 C 1.51, 4 B 1.67
C  0.5000  0.5000  0.8858  1 C 1.51, 4 B 1.67

Results
Its space group is I4/mmm. The calculation puts the raw total energy at -0.5687 Ry/atom. Its formation energy is 0.43 eV per formula unit. The energy above the most stable polymorph in this dataset is 0.12 eV per formula unit. As for the calculated volume: 52.4 Å³/cell.



# 7
Density functional theory data (PBE) for crystalline BC at its relaxed geometry.

a = 2.5745 Å, b = 4.7972 Å, c = 6.5490 Å
α = 90.51°, β = 90.00°, γ = 90.00°
Closest atoms and distances in Å follow each position.
Positions (direct):
C  0.5000  0.8411  0.5793  2 C 1.52-1.59, 2 B 1.65
C  0.0000  0.0182  0.9920  2 B 1.55-1.61, 2 C 1.55
C  0.0000  0.3033  0.5943  2 B 1.53-1.69, 2 C 1.57
C  0.5000  0.1579  0.9088  3 C 1.55-1.57, 1 B 1.55
C  0.5000  0.8508  0.3478  1 C 1.52, 3 B 1.58-1.62
C  0.5000  0.1490  0.6696  4 C 1.57-1.59
B  0.0000  0.9567  0.2328  3 C 1.58-1.61
B  0.5000  0.4694  0.9750  1 C 1.55, 2 B 1.71
B  0.0000  0.3572  0.3638  1 C 1.53
B  0.5000  0.5479  0.2379  1 C 1.62, 3 B 1.76-1.79
B  0.0000  0.7004  0.9494  1 C 1.55, 2 B 1.71
B  0.0000  0.6481  0.6494  3 C 1.65-1.69

Results
Its space group is Pm. The calculation puts the raw total energy at -0.5547 Ry/atom. Its formation energy is 0.81 eV per formula unit. The energy above the most stable polymorph in this dataset is 0.51 eV per formula unit. As for the calculated volume: 80.9 Å³/cell.



# 8
Density functional theory data (PBE) for crystalline B7C5 at its relaxed geometry.

a = 2.5543 Å, b = 4.4092 Å, c = 7.2467 Å
α = 89.65°, β = 90.00°, γ = 90.00°
Closest atoms and distances in Å follow each position.
Positions (direct):
B  0.5000  0.1081  0.8882  3 C 1.55-1.60
B  0.5000  0.8614  0.3683  1 C 1.58
B  0.0000  0.3124  0.3796  1 C 1.59
B  0.0000  0.6894  0.8809  2 C 1.61-1.73, 2 B 1.80
B  0.5000  0.5003  0.0136  3 B 1.66-1.80
B  0.0000  0.9936  0.2131  1 C 1.56
B  0.5000  0.5127  0.2424  4 B 1.66-1.84
C  0.0000  0.6684  0.6591  3 C 1.56-1.57, 1 B 1.61
C  0.0000  0.3280  0.5989  3 C 1.56-1.57, 1 B 1.59
C  0.5000  0.1617  0.6702  3 C 1.56-1.57, 1 B 1.60
C  0.0000  0.0287  0.9994  4 B 1.55-1.73
C  0.5000  0.8353  0.5863  3 C 1.56-1.57, 1 B 1.58

Results
Its space group is Pm. The calculation puts the raw total energy at -0.5355 Ry/atom. Its formation energy is 5.43 eV per formula unit. The energy above the most stable polymorph in this dataset is 3.46 eV per formula unit. As for the calculated volume: 81.6 Å³/cell.



# 9
Density functional theory data (PBE) for crystalline BC at its relaxed geometry.

a = 2.6637 Å, b = 2.6637 Å, c = 14.3793 Å
α = 90.00°, β = 90.00°, γ = 120.00°
Closest atoms and distances in Å follow each position.
Positions (direct):
C  0.0000  0.0000  0.9058  1 C 1.50, 3 B 1.67
C  0.0000  0.0000  0.0103  4 C 1.50-1.63
C  0.3333  0.6667  0.0483  1 B 1.60, 3 C 1.63
C  0.6667  0.3333  0.3071  1 C 1.41
C  0.0000  0.0000  0.4705  4 B 1.55-1.65
C  0.6667  0.3333  0.2088  1 C 1.41
B  0.6667  0.3333  0.7398  4 B 1.63-1.74
B  0.3333  0.6667  0.7019  3 B 1.63
B  0.0000  0.0000  0.3556  4 C 1.65-1.69
B  0.6667  0.3333  0.8610  3 C 1.67, 1 B 1.74
B  0.3333  0.6667  0.1596  4 C 1.60-1.69
B  0.3333  0.6667  0.4813  3 C 1.55

Results
Its space group is P3m1. The calculation puts the raw total energy at -0.5498 Ry/atom. Its formation energy is 0.94 eV per formula unit. The energy above the most stable polymorph in this dataset is 0.64 eV per formula unit. As for the calculated volume: 88.4 Å³/cell.



# 10
Density functional theory data (PBE) for crystalline B3C7 at its relaxed geometry.

a = 4.5414 Å, b = 4.5414 Å, c = 6.4206 Å
α = 64.00°, β = 64.00°, γ = 32.42°
Closest atoms and distances in Å follow each position.
Positions (direct):
B  0.6092  0.6092  0.8454  4 C 1.63-1.69
B  0.8042  0.8042  0.0506  4 C 1.59-1.71
B  0.3900  0.3900  0.4003  4 C 1.62-1.76
C  0.4049  0.4049  0.6648  3 C 1.50-1.53
C  0.9976  0.9976  0.0131  1 C 1.50, 3 B 1.59-1.66
C  0.1847  0.1847  0.2144  2 C 1.48-1.56
C  0.0077  0.0077  0.2402  2 C 1.48-1.50
C  0.5988  0.5988  0.5893  3 C 1.53-1.54, 1 B 1.69
C  0.1901  0.1901  0.4532  3 C 1.54-1.56, 1 B 1.62
C  0.8128  0.8128  0.7787  2 C 1.50, 1 B 1.63

Results
Its space group is Cm. The calculation puts the raw total energy at -0.6001 Ry/atom. Its formation energy is 2.95 eV per formula unit. The energy above the most stable polymorph in this dataset is 0.32 eV per formula unit. As for the calculated volume: 63.2 Å³/cell.



Copy entry 10 word for word.
Density functional theory data (PBE) for crystalline B3C7 at its relaxed geometry.

a = 4.5414 Å, b = 4.5414 Å, c = 6.4206 Å
α = 64.00°, β = 64.00°, γ = 32.42°
Closest atoms and distances in Å follow each position.
Positions (direct):
B  0.6092  0.6092  0.8454  4 C 1.63-1.69
B  0.8042  0.8042  0.0506  4 C 1.59-1.71
B  0.3900  0.3900  0.4003  4 C 1.62-1.76
C  0.4049  0.4049  0.6648  3 C 1.50-1.53
C  0.9976  0.9976  0.0131  1 C 1.50, 3 B 1.59-1.66
C  0.1847  0.1847  0.2144  2 C 1.48-1.56
C  0.0077  0.0077  0.2402  2 C 1.48-1.50
C  0.5988  0.5988  0.5893  3 C 1.53-1.54, 1 B 1.69
C  0.1901  0.1901  0.4532  3 C 1.54-1.56, 1 B 1.62
C  0.8128  0.8128  0.7787  2 C 1.50, 1 B 1.63

Results
Its space group is Cm. The calculation puts the raw total energy at -0.6001 Ry/atom. Its formation energy is 2.95 eV per formula unit. The energy above the most stable polymorph in this dataset is 0.32 eV per formula unit. As for the calculated volume: 63.2 Å³/cell.